Material: PmTlIr
Method: DFT, PBE
State: optimized geometry

Properties
**Calculated volume**: 77.94 Å³ per cell
**Total DFT energy (no corrections)**: -5.65 eV/atom
**Energy above the most stable polymorph in this dataset**: 0 meV per atom
**DOS at the Fermi energy**: 1.29 states/eV/cell
**SG**: F-43m, No. 216
**Formation energy from the elements**: -327 meV/atom

a b c (Å): 4.7946 4.7946 4.7946
angles (deg): 60.00 60.00 60.00
Positions (direct):
Tl1 0.0000 0.0000 0.0000
Ir1 0.2500 0.2500 0.2500
Pm1 0.5000 0.5000 0.5000

***

Material: Pm8Tl2Ir
Method: DFT, PBE
State: optimized geometry

Properties
**Calculated volume**: 335.73 Å³ per cell
**Total DFT energy (no corrections)**: -4.97 eV/atom
**DOS at the Fermi energy**: 11.60 states/eV/cell
**SG**: C2/m, No. 12
**Formation energy from the elements**: -275 meV/atom

a b c (Å): 5.2135 6.9184 10.0808
angles (deg): 106.49 104.99 90.00
Positions (direct):
Pm1 0.4115 0.5558 0.8230
Pm2 0.6476 0.9832 0.2952
Pm3 0.7888 0.6825 0.5777
Pm4 0.9828 0.2128 0.9655
Pm5 0.2112 0.3175 0.4223
Pm6 0.3524 0.0168 0.7048
Pm7 0.5885 0.4442 0.1770
Pm8 0.0172 0.7872 0.0345
Tl1 0.8208 0.2569 0.6417
Tl2 0.1792 0.7431 0.3583
Ir1 0.5000 0.0000 0.0000

***

Material: Pm5Tl2Ir
Method: DFT, PBE
State: optimized geometry

Properties
**Calculated volume**: 476.50 Å³ per cell
**Total DFT energy (no corrections)**: -5.11 eV/atom
**Energy above the most stable polymorph in this dataset**: 0 meV per atom
**DOS at the Fermi energy**: 14.59 states/eV/cell
**SG**: Pbam, No. 55
**Formation energy from the elements**: -445 meV/atom

a b c (Å): 4.8098 7.9597 12.4464
angles (deg): 90.00 90.00 90.00
Positions (direct):
Pm1 0.0000 0.0000 0.5000
Pm2 0.0000 0.5000 0.0000
Pm3 0.0000 0.8623 0.2039
Pm4 0.0000 0.1377 0.7961
Pm5 0.0000 0.6377 0.7039
Pm6 0.0000 0.3623 0.2961
Pm7 0.5000 0.6825 0.4283
Pm8 0.5000 0.3175 0.5717
Pm9 0.5000 0.8175 0.9283
Pm10 0.5000 0.1825 0.0717
Tl1 0.5000 0.5761 0.1684
Tl2 0.5000 0.4239 0.8316
Tl3 0.5000 0.9239 0.6684
Tl4 0.5000 0.0761 0.3316
Ir1 0.0000 0.5000 0.5000
Ir2 0.0000 0.0000 0.0000

***

Material: Pm5Tl2Ir
Method: DFT, PBE
State: optimized geometry

Properties
**Calculated volume**: 232.69 Å³ per cell
**Total DFT energy (no corrections)**: -4.91 eV/atom
**Energy above the most stable polymorph in this dataset**: 199 meV per atom
**DOS at the Fermi energy**: 6.33 states/eV/cell
**SG**: I4mm, No. 107
**Formation energy from the elements**: -246 meV/atom

a b c (Å): 7.1699 7.1699 6.7962
angles (deg): 121.83 121.83 90.01
Positions (direct):
Pm1 0.7343 0.2348 0.9691
Pm2 0.2347 0.2347 0.9689
Pm3 0.7343 0.7343 0.9689
Pm4 0.2348 0.7343 0.9691
Pm5 0.7486 0.7486 0.4972
Tl1 0.2324 0.7324 0.4649
Tl2 0.7324 0.2324 0.4649
Ir1 0.1255 0.1255 0.2509